Entry P
A plane-wave DFT calculation with PBE was carried out for crystalline Dy3Tl3Cd2 at its relaxed geometry.

POSCAR file:
```
Dy3Tl3Cd2
1.0
9.000 0.000 0.000
-4.500 7.795 0.000
0.000 0.000 6.126
Dy Tl Cd
6 6 4
direct
0.000 0.244 0.250 Dy
0.000 0.756 0.750 Dy
0.244 0.000 0.250 Dy
0.244 0.244 0.750 Dy
0.756 0.000 0.750 Dy
0.756 0.756 0.250 Dy
0.000 0.394 0.750 Tl
0.000 0.606 0.250 Tl
0.394 0.000 0.750 Tl
0.394 0.394 0.250 Tl
0.606 0.000 0.250 Tl
0.606 0.606 0.750 Tl
0.333 0.667 0.000 Cd
0.333 0.667 0.500 Cd
0.667 0.333 0.000 Cd
0.667 0.333 0.500 Cd
```

Summary:
calculated volume	26.86	Å³/atom
calculated density	10.2	Mg/m³
space group	P6_3/mcm, No. 193

---

Entry Q
A plane-wave DFT calculation with PBE was carried out for crystalline Dy3Tl3Cd2 at its relaxed geometry.

POSCAR file:
```
Dy3Tl3Cd2
1.0
8.313 0.000 0.000
-4.156 7.199 0.000
0.000 0.000 3.611
Dy Tl Cd
3 3 2
direct
0.000 0.371 0.000 Dy
0.371 0.000 0.000 Dy
0.629 0.629 0.000 Dy
0.000 0.746 0.500 Tl
0.254 0.254 0.500 Tl
0.746 0.000 0.500 Tl
0.333 0.667 0.500 Cd
0.667 0.333 0.500 Cd
```

Summary:
calculated volume	27.01	Å³/atom
calculated density	10.2	Mg/m³
space group	P-62m, No. 189

---

Here are the energies relative to the best structure, in kJ/mol of atoms: entry P 7.5; entry Q 0.0.

---

Entry P
A plane-wave DFT calculation with PBE was carried out for crystalline Dy2TlCd at its relaxed geometry.

POSCAR file:
```
Dy2TlCd
1.0
1.852 1.069 9.686
-1.852 1.069 9.686
0.000 -2.138 9.686
Dy Tl Cd
2 1 1
direct
0.250 0.250 0.250 Dy
0.750 0.750 0.750 Dy
0.000 0.000 0.000 Tl
0.500 0.500 0.500 Cd
```

Summary:
calculated volume	28.77	Å³/atom
calculated density	9.3	Mg/m³
space group	R-3m, No. 166

---

Entry Q
A plane-wave DFT calculation with PBE was carried out for crystalline Dy2TlCd at its relaxed geometry.

POSCAR file:
```
Dy2TlCd
1.0
0.000 3.767 3.767
3.767 0.000 3.767
3.767 3.767 0.000
Dy Tl Cd
2 1 1
direct
0.250 0.250 0.250 Dy
0.750 0.750 0.750 Dy
0.000 0.000 0.000 Tl
0.500 0.500 0.500 Cd
```

Summary:
calculated volume	26.72	Å³/atom
calculated density	10.0	Mg/m³
space group	Fm-3m, No. 225

---

Here are the energies relative to the best structure, in kJ/mol of atoms: entry P 12.9; entry Q 0.0.